! Ac2TaNi3Ge4, relaxed, DFT PBE; values from VASP
&SYSTEM
  ibrav = 0, nat = 10, ntyp = 4
/
ATOMIC_SPECIES
Ac 227.00 Ac.upf
Ta 180.95 Ta.upf
Ni 58.69 Ni.upf
Ge 72.64 Ge.upf
ATOMIC_POSITIONS crystal
Ac 0.000 0.500 0.234
Ac 0.500 0.000 0.766
Ta 0.000 0.000 0.500
Ni 0.000 0.500 0.883
Ni 0.500 0.000 0.117
Ni 0.500 0.500 0.500
Ge 0.000 0.000 0.000
Ge 0.000 0.500 0.642
Ge 0.500 0.000 0.358
Ge 0.500 0.500 0.000
CELL_PARAMETERS angstrom
4.253 0.000 0.000
0.000 4.253 0.000
0.000 0.000 10.684
! **Formation enthalpy at 0 K**: -0.541 eV per atom



! Tm5TcBi, relaxed, DFT PBE; values from VASP
&SYSTEM
  ibrav = 0, nat = 14, ntyp = 3
/
ATOMIC_SPECIES
Tm 168.93 Tm.upf
Tc 98.00 Tc.upf
Bi 208.98 Bi.upf
ATOMIC_POSITIONS crystal
Tm 0.030 0.407 0.637
Tm 0.030 0.970 0.750
Tm 0.212 0.540 0.957
Tm 0.407 0.030 0.137
Tm 0.460 0.788 0.543
Tm 0.540 0.212 0.457
Tm 0.593 0.970 0.863
Tm 0.788 0.460 0.043
Tm 0.970 0.030 0.250
Tm 0.970 0.593 0.363
Tc 0.000 0.000 0.000
Tc 0.000 0.000 0.500
Bi 0.462 0.538 0.250
Bi 0.538 0.462 0.750
CELL_PARAMETERS angstrom
5.287 -3.444 0.000
5.287 3.444 0.000
-3.494 0.000 10.805
! **Formation enthalpy at 0 K**: -0.069 eV per atom



! PmSnPd, relaxed, DFT PBE; values from VASP
&SYSTEM
  ibrav = 0, nat = 6, ntyp = 3
/
ATOMIC_SPECIES
Pm 145.00 Pm.upf
Sn 118.71 Sn.upf
Pd 106.42 Pd.upf
ATOMIC_POSITIONS crystal
Pm 0.105 0.250 0.202
Pm 0.895 0.750 0.798
Sn 0.369 0.250 0.767
Sn 0.631 0.750 0.233
Pd 0.263 0.750 0.490
Pd 0.737 0.250 0.510
CELL_PARAMETERS angstrom
4.639 0.000 0.000
0.000 4.835 0.000
-2.166 0.000 6.243
! **Formation enthalpy at 0 K**: -0.778 eV per atom



Calculated values (states/eV per cell) of DOS(E_F) for the records, taken in order: 5.010, 14.975, 3.338.